(1)
The following is a DFT calculation (PBE) of an optimized crystal structure of LaPrTlZn.

```
data_LaPrTlZn
_symmetry_space_group_name_H-M 'F -4 3 m'
_symmetry_Int_Tables_number 216
_symmetry_space_group_name_Hall 'F -4 2 3'
_cell_length_a 7.7345
_cell_length_b 7.7345
_cell_length_c 7.7345
_cell_angle_alpha 90.00
_cell_angle_beta 90.00
_cell_angle_gamma 90.00
loop_
_atom_site_label
_atom_site_fract_x
_atom_site_fract_y
_atom_site_fract_z
_atom_site_occupancy
La1 0.0000 0.0000 0.0000 1
Pr1 0.0000 0.0000 0.5000 1
Tl1 0.2500 0.2500 0.2500 1
Zn1 0.2500 0.2500 0.7500 1
```

Computed properties:
The calculation puts the energy of formation at -0.339 eV/atom. The density of states at the Fermi level comes out at 5.34 states/eV/f.u. The value obtained for the magnetic moment is 0.02 μB/cell.

---

(2)
The following is a DFT calculation (PBE) of an optimized crystal structure of La4PrTm3.

```
data_La4PrTm3
_symmetry_space_group_name_H-M 'I m m m'
_symmetry_Int_Tables_number 71
_symmetry_space_group_name_Hall '-I 2 2'
_cell_length_a 3.5100
_cell_length_b 11.8216
_cell_length_c 13.1628
_cell_angle_alpha 90.00
_cell_angle_beta 90.00
_cell_angle_gamma 90.00
loop_
_atom_site_label
_atom_site_fract_x
_atom_site_fract_y
_atom_site_fract_z
_atom_site_occupancy
La1 0.0000 0.2500 0.1337 1
Pr1 0.0000 0.0000 0.0000 1
Tm1 0.0000 0.0000 0.5000 1
Tm2 0.0000 0.5000 0.2613 1
```

Computed properties:
The energy above the most stable polymorph in this dataset comes out at 92 meV per atom. The calculation puts the energy of formation at 0.125 eV/atom. The density of states at the Fermi level comes out at 14.23 states/eV/f.u. The value obtained for the magnetic moment is 0.00 μB/cell.

---

(3)
The following is a DFT calculation (PBE) of an optimized crystal structure of La3Pr7Tm.

```
data_La3Pr7Tm
_symmetry_space_group_name_H-M 'I m m m'
_symmetry_Int_Tables_number 71
_symmetry_space_group_name_Hall '-I 2 2'
_cell_length_a 6.0527
_cell_length_b 11.5096
_cell_length_c 11.6440
_cell_angle_alpha 90.00
_cell_angle_beta 90.00
_cell_angle_gamma 90.00
loop_
_atom_site_label
_atom_site_fract_x
_atom_site_fract_y
_atom_site_fract_z
_atom_site_occupancy
La1 0.0000 0.0000 0.0000 1
La2 0.0000 0.2883 0.5000 1
Pr1 0.0000 0.0000 0.5000 1
Pr2 0.0000 0.2068 0.1955 1
Pr3 0.0000 0.5000 0.2896 1
Tm1 0.0000 0.5000 0.0000 1
```

Computed properties:
The energy above the most stable polymorph in this dataset comes out at 4 meV per atom. The calculation puts the energy of formation at 0.221 eV/atom. The density of states at the Fermi level comes out at 16.50 states/eV/f.u. The value obtained for the magnetic moment is 0.00 μB/cell.

---

energy of formation of number 1 (LaPrTlZn)?
-0.339 eV/atom

---

Number 2 is which compound?
La4PrTm3